Below is a relaxed PuNpPaIr crystal, with properties calculated at the PBE-GGA level.

Its total moment is 7.10 μB/cell. The calculation puts the calculated formation energy at -0.74 eV/f.u.

The structure belongs to space group F-43m (No. 216); the cell edges are 6.8219, 6.8219 and 6.8219 Å and the angles 90.00°, 90.00° and 90.00°. Symmetry generates all atoms from Pu at (0.0000, 0.0000, 0.0000), Np at (0.2500, 0.2500, 0.7500), Pa at (0.0000, 0.0000, 0.5000) and Ir at (0.2500, 0.2500, 0.2500).